Record 1
DFT (PBE-GGA) results for a relaxed SiMo2As crystal.

extended XYZ file:
```
4
Lattice="-1.568 2.481 3.988 1.568 -2.481 3.988 1.568 2.481 -3.988" Properties=species:S:1:pos:R:3 pbc="T T T"
Si 0.000 0.000 0.000
Mo 1.568 0.000 1.984
Mo 0.000 2.481 2.004
As 0.000 0.000 3.988
```

Summary:
- Space-group type: Immm (71)
- Formation energy without anion corrections: 15.78 kJ per mole of atoms
- Excess energy over the best structure of this formula in the dataset: 1.71 eV per formula unit



Record 2
DFT (PBE-GGA) results for a relaxed SiMo4As crystal.

extended XYZ file:
```
6
Lattice="0.000 3.697 3.697 3.697 0.000 3.697 3.697 3.697 0.000" Properties=species:S:1:pos:R:3 pbc="T T T"
Si 0.000 0.000 0.000
Mo 4.618 2.775 2.775
Mo 2.775 4.618 2.775
Mo 2.775 2.775 4.618
Mo 4.618 4.618 4.618
As 1.848 1.848 1.848
```

Summary:
- Space-group type: F-43m (216)
- Formation energy without anion corrections: 49.78 kJ per mole of atoms